1.
# Y2CrOs (PBE, optimized geometry)
data_Y2CrOs
_chemical_formula_sum 'Y2 Cr1 Os1'
_space_group_name_H-M_alt 'P 4 m m'
_space_group_IT_number 99
_space_group_name_Hall 'P 4 -2'
_cell_length_a 3.109
_cell_length_b 3.109
_cell_length_c 8.733
_cell_angle_alpha 90.00
_cell_angle_beta 90.00
_cell_angle_gamma 90.00
loop_
_atom_site_label
_atom_site_type_symbol
_atom_site_fract_x
_atom_site_fract_y
_atom_site_fract_z
_atom_site_occupancy
Y1 Y 0.000 0.000 0.000 1
Y2 Y 0.500 0.500 0.380 1
Cr1 Cr 0.000 0.000 0.619 1
Os1 Os 0.500 0.500 0.762 1
# Energy above the lowest structure with this stoichiometry, kJ/mol of formula units: 33

2.
VASP calculation (PBE) on a geometry-optimized Sm3BeGe3 structure.

```
data_Sm3BeGe3
_chemical_formula_sum 'Sm6 Be2 Ge6'
_space_group_name_H-M_alt 'I m m 2'
_space_group_IT_number 44
_space_group_name_Hall 'I 2 -2'
_cell_length_a 3.988
_cell_length_b 4.331
_cell_length_c 17.961
_cell_angle_alpha 90.00
_cell_angle_beta 90.00
_cell_angle_gamma 90.00
loop_
_atom_site_label
_atom_site_type_symbol
_atom_site_fract_x
_atom_site_fract_y
_atom_site_fract_z
_atom_site_occupancy
Sm1 Sm 0.000 0.000 0.000 1
Sm2 Sm 0.000 0.000 0.366 1
Sm3 Sm 0.000 0.500 0.681 1
Be1 Be 0.000 0.500 0.113 1
Ge1 Ge 0.000 0.000 0.547 1
Ge2 Ge 0.000 0.000 0.830 1
Ge3 Ge 0.000 0.500 0.238 1
```

DOS(E_F) / states/eV per atom: 0.94, 0.70
ΔE_f / eV per atom: 0.12, -0.73
Energy / eV for the cell shown: -33.3, -73.7